# CsNa2CaAs (PBE, relaxed)
# - Crystal system: tetragonal
# - Total energy: -0.0843 Ha/atom
# - D(E_F): 0.474 states/eV per atom
# - DFT formation energy: -0.2640 eV/atom
data_CsNa2CaAs
_chemical_formula_sum 'Cs1 Na2 Ca1 As1'
_symmetry_space_group_name_H-M 'P 4/m m m'
_symmetry_Int_Tables_number 123
_symmetry_space_group_name_Hall '-P 4 2'
_cell_length_a 6.089
_cell_length_b 6.089
_cell_length_c 5.738
_cell_angle_alpha 90.00
_cell_angle_beta 90.00
_cell_angle_gamma 90.00
loop_
_atom_site_label
_atom_site_fract_x
_atom_site_fract_y
_atom_site_fract_z
Cs1 0.000 0.000 0.000
Na1 0.000 0.500 0.500
Ca1 0.500 0.500 0.000
As1 0.500 0.500 0.500